First-principles (GGA-PBE) data for crystalline KBe2Nb at its relaxed geometry, as listed in Alexandria.

Values from the calculation:
As for the uncorrected energy: -3.2429 eV/atom. The space-group type is No. 122. The calculation puts the theoretical density at 2.86 Mg/m³. The energy relative to the elements is 1.412 eV per atom.

Cell lengths 7.194, 7.194, 6.741 Å; angles 90.00, 90.00, 90.00 degrees
Positions (direct):
K1 0.000 0.000 0.000
K2 0.000 0.500 0.250
K3 0.500 0.000 0.750
K4 0.500 0.500 0.500
Be1 0.188 0.250 0.625
Be2 0.250 0.688 0.875
Be3 0.250 0.812 0.375
Be4 0.312 0.250 0.125
Be5 0.688 0.750 0.125
Be6 0.750 0.188 0.375
Be7 0.750 0.312 0.875
Be8 0.812 0.750 0.625
Nb1 0.000 0.000 0.500
Nb2 0.000 0.500 0.750
Nb3 0.500 0.000 0.250
Nb4 0.500 0.500 0.000

***

First-principles (GGA-PBE) data for crystalline KBeNb at its relaxed geometry, as listed in Alexandria.

Values from the calculation:
As for the uncorrected energy: -4.5757 eV/atom. The space-group type is No. 2. The calculation puts the theoretical density at 3.13 Mg/m³. The energy relative to the elements is 0.389 eV per atom.

Cell lengths 3.421, 3.421, 12.776 Å; angles 90.43, 90.53, 90.03 degrees
Positions (direct):
K1 0.222 0.256 0.166
K2 0.778 0.744 0.834
Be1 0.276 0.235 0.632
Be2 0.724 0.765 0.368
Nb1 0.229 0.265 0.437
Nb2 0.771 0.735 0.563

***

First-principles (GGA-PBE) data for crystalline KBeNb at its relaxed geometry, as listed in Alexandria.

Values from the calculation:
As for the uncorrected energy: -4.4498 eV/atom. The space-group type is No. 1. The calculation puts the theoretical density at 2.88 Mg/m³. The energy relative to the elements is 0.515 eV per atom.

Cell lengths 3.860, 3.861, 12.751 Å; angles 93.18, 95.47, 119.93 degrees
Positions (direct):
K1 0.000 0.000 0.000
K2 0.354 0.297 0.656
Be1 0.444 0.761 0.207
Be2 0.778 0.429 0.210
Nb1 0.156 0.133 0.292
Nb2 0.891 0.524 0.417

***

First-principles (GGA-PBE) data for crystalline KBe3Nb at its relaxed geometry, as listed in Alexandria.

Values from the calculation:
As for the uncorrected energy: -3.1243 eV/atom. The space-group type is No. 221. The calculation puts the theoretical density at 2.34 Mg/m³. The energy relative to the elements is 1.345 eV per atom.

Cell lengths 4.836, 4.836, 4.836 Å; angles 90.00, 90.00, 90.00 degrees
Positions (direct):
K1 0.000 0.000 0.000
Be1 0.000 0.500 0.500
Be2 0.500 0.000 0.500
Be3 0.500 0.500 0.000
Nb1 0.500 0.500 0.500

***

First-principles (GGA-PBE) data for crystalline KBeNb at its relaxed geometry, as listed in Alexandria.

Values from the calculation:
As for the uncorrected energy: -4.4531 eV/atom. The space-group type is No. 1. The calculation puts the theoretical density at 2.67 Mg/m³. The energy relative to the elements is 0.511 eV per atom.

Cell lengths 3.700, 4.432, 11.910 Å; angles 97.42, 90.32, 114.62 degrees
Positions (direct):
K1 0.000 0.000 0.000
K2 0.194 0.373 0.641
Be1 0.049 0.092 0.323
Be2 0.469 0.929 0.433
Nb1 0.349 0.695 0.242
Nb2 0.757 0.507 0.378

***

First-principles (GGA-PBE) data for crystalline KBeNb at its relaxed geometry, as listed in Alexandria.

Values from the calculation:
As for the uncorrected energy: -2.8488 eV/atom. The space-group type is No. 194. The calculation puts the theoretical density at 1.87 Mg/m³. The energy relative to the elements is 2.116 eV per atom.

Cell lengths 5.422, 5.422, 9.824 Å; angles 90.00, 90.00, 120.00 degrees
Positions (direct):
K1 0.333 0.667 0.250
K2 0.667 0.333 0.750
Be1 0.000 0.000 0.250
Be2 0.000 0.000 0.750
Nb1 0.000 0.000 0.000
Nb2 0.000 0.000 0.500

***

First-principles (GGA-PBE) data for crystalline KBeNb at its relaxed geometry, as listed in Alexandria.

Values from the calculation:
As for the uncorrected energy: -4.1291 eV/atom. The space-group type is No. 139. The calculation puts the theoretical density at 2.78 Mg/m³. The energy relative to the elements is 0.835 eV per atom.

Cell lengths 4.504, 4.504, 16.627 Å; angles 90.00, 90.00, 90.00 degrees
Positions (direct):
K1 0.000 0.000 0.165
K2 0.000 0.000 0.835
K3 0.500 0.500 0.335
K4 0.500 0.500 0.665
Be1 0.000 0.500 0.000
Be2 0.000 0.500 0.500
Be3 0.500 0.000 0.000
Be4 0.500 0.000 0.500
Nb1 0.000 0.000 0.431
Nb2 0.000 0.000 0.569
Nb3 0.500 0.500 0.069
Nb4 0.500 0.500 0.931

***

First-principles (GGA-PBE) data for crystalline KBeNb at its relaxed geometry, as listed in Alexandria.

Values from the calculation:
As for the uncorrected energy: -3.6213 eV/atom. The space-group type is No. 187. The calculation puts the theoretical density at 2.83 Mg/m³. The energy relative to the elements is 1.343 eV per atom.

Cell lengths 4.941, 4.941, 7.832 Å; angles 90.00, 90.00, 120.00 degrees
Positions (direct):
K1 0.000 0.000 0.000
K2 0.000 0.000 0.500
Be1 0.667 0.333 0.145
Be2 0.667 0.333 0.855
Nb1 0.333 0.667 0.146
Nb2 0.333 0.667 0.854

***

First-principles (GGA-PBE) data for crystalline KBeNb at its relaxed geometry, as listed in Alexandria.

Values from the calculation:
As for the uncorrected energy: -4.0416 eV/atom. The space-group type is No. 62. The calculation puts the theoretical density at 2.94 Mg/m³. The energy relative to the elements is 0.923 eV per atom.

Cell lengths 8.501, 3.589, 10.460 Å; angles 90.00, 90.00, 90.00 degrees
Positions (direct):
K1 0.034 0.250 0.165
K2 0.466 0.750 0.665
K3 0.534 0.250 0.335
K4 0.966 0.750 0.835
Be1 0.191 0.750 0.396
Be2 0.309 0.250 0.896
Be3 0.691 0.750 0.104
Be4 0.809 0.250 0.604
Nb1 0.097 0.250 0.541
Nb2 0.403 0.750 0.041
Nb3 0.597 0.250 0.959
Nb4 0.903 0.750 0.459

***

First-principles (GGA-PBE) data for crystalline KBeNb at its relaxed geometry, as listed in Alexandria.

Values from the calculation:
As for the uncorrected energy: -4.4755 eV/atom. The space-group type is No. 2. The calculation puts the theoretical density at 2.50 Mg/m³. The energy relative to the elements is 0.489 eV per atom.

Cell lengths 4.363, 4.363, 11.374 Å; angles 89.27, 88.95, 60.01 degrees
Positions (direct):
K1 0.181 0.170 0.191
K2 0.819 0.830 0.809
Be1 0.496 0.499 0.592
Be2 0.504 0.501 0.408
Nb1 0.167 0.167 0.502
Nb2 0.833 0.833 0.498

***

First-principles (GGA-PBE) data for crystalline KBeNb at its relaxed geometry, as listed in Alexandria.

Values from the calculation:
As for the uncorrected energy: -4.4474 eV/atom. The space-group type is No. 1. The calculation puts the theoretical density at 2.87 Mg/m³. The energy relative to the elements is 0.517 eV per atom.

Cell lengths 3.864, 3.867, 12.734 Å; angles 83.23, 82.27, 60.04 degrees
Positions (direct):
K1 0.000 0.000 0.000
K2 0.448 0.524 0.657
Be1 0.264 0.286 0.210
Be2 0.598 0.620 0.207
Nb1 0.195 0.241 0.417
Nb2 0.904 0.934 0.292

***

First-principles (GGA-PBE) data for crystalline KBeNb3 at its relaxed geometry, as listed in Alexandria.

Values from the calculation:
As for the uncorrected energy: -4.2261 eV/atom. The space-group type is No. 221. The calculation puts the theoretical density at 5.67 Mg/m³. The energy relative to the elements is 2.781 eV per atom.

Cell lengths 4.574, 4.574, 4.574 Å; angles 90.00, 90.00, 90.00 degrees
Positions (direct):
K1 0.000 0.000 0.000
Be1 0.500 0.500 0.500
Nb1 0.000 0.000 0.500
Nb2 0.000 0.500 0.000
Nb3 0.500 0.000 0.000